Below is a relaxed Cs3SmSb2O9 crystal, with properties calculated at the GGA-PBE level.

Geometry as POSCAR:
```
Cs3SmSb2O9
1.0
-1.781 2.391 5.344
-3.237 -4.517 -2.561
4.184 -5.077 3.667
O Sb Cs Sm
9 2 3 1
direct
0.821 0.642 0.689
0.500 0.000 0.000
0.000 0.500 0.000
0.500 0.500 0.000
0.358 0.179 0.689
0.642 0.821 0.311
0.179 0.358 0.311
0.821 0.179 0.689
0.179 0.821 0.311
0.333 0.667 0.159
0.667 0.333 0.841
0.667 0.333 0.337
0.000 0.000 0.000
0.333 0.667 0.663
0.000 0.000 0.500
```

**Total energy**: -5.56 eV/atom



Below is a relaxed Cs12Sn2Sb6O crystal, with properties calculated at the GGA-PBE level.

Geometry as POSCAR:
```
Cs12Sn2Sb6O
1.0
-7.833 -3.830 -9.534
4.105 -8.518 8.804
-5.333 1.384 3.825
Cs Sb O Sn
12 6 1 2
direct
0.454 0.546 0.249
0.887 0.113 0.726
0.225 0.113 0.726
0.907 0.454 0.751
0.454 0.907 0.249
0.546 0.454 0.751
0.546 0.093 0.751
0.113 0.887 0.274
0.775 0.887 0.274
0.113 0.225 0.274
0.887 0.775 0.726
0.093 0.546 0.249
0.581 0.790 0.754
0.419 0.210 0.246
0.790 0.210 0.246
0.790 0.581 0.246
0.210 0.419 0.754
0.210 0.790 0.754
0.000 0.000 0.500
0.333 0.667 0.749
0.667 0.333 0.251
```

**Total energy**: -2.81 eV/atom



Below is a relaxed Cs2SrSbO4 crystal, with properties calculated at the GGA-PBE level.

Geometry as POSCAR:
```
Cs2SrSbO4
1.0
6.393 0.000 0.000
3.197 6.920 0.000
3.197 0.000 12.435
O Sb Sr Cs
8 2 2 4
direct
0.169 0.321 0.432
0.399 0.679 0.432
0.510 0.321 0.568
0.351 0.821 0.068
0.922 0.679 0.568
0.240 0.179 0.932
0.828 0.821 0.932
0.581 0.179 0.068
0.250 0.500 0.500
0.500 0.000 0.000
0.750 0.500 0.500
0.000 0.000 0.000
0.558 0.500 0.885
0.808 0.000 0.385
0.192 0.000 0.615
0.942 0.500 0.115
```

**Total energy**: -4.91 eV/atom